# 1
The following is a DFT calculation (meta-GGA SCAN) of a PBEsol-optimized structure of Na2AlCdCl.

CIF file:
```
data_Na2AlCdCl
_space_group_name_H-M_alt 'P 4/m m m'
_space_group_IT_number 123
_space_group_name_Hall '-P 4 2'
_cell_length_a 5.857
_cell_length_b 5.857
_cell_length_c 5.053
_cell_angle_alpha 90.00
_cell_angle_beta 90.00
_cell_angle_gamma 90.00
loop_
_atom_site_label
_atom_site_type_symbol
_atom_site_fract_x
_atom_site_fract_y
_atom_site_fract_z
Na1 Na 0.000 0.500 0.000
Al1 Al 0.000 0.000 0.000
Cd1 Cd 0.500 0.500 0.500
Cl1 Cl 0.000 0.000 0.500
```

Summary:
* density: 2.1 Mg/m³
* final energy: -10.87 eV/atom
* formation energy from raw total energies: 0.20 eV per formula unit



# 2
The following is a DFT calculation (meta-GGA SCAN) of a PBEsol-optimized structure of NaCo2O4.

CIF file:
```
data_NaCo2O4
_space_group_name_H-M_alt 'P m m n'
_space_group_IT_number 59
_cell_length_a 5.588
_cell_length_b 11.044
_cell_length_c 4.839
_cell_angle_alpha 90.00
_cell_angle_beta 90.00
_cell_angle_gamma 90.00
loop_
_space_group_symop_operation_xyz
'x,y,z'
'-x,-y,-z'
'-x+1/2,-y+1/2,z'
'x+1/2,y+1/2,-z'
'x+1/2,-y,-z'
'-x+1/2,y,z'
'-x,y+1/2,-z'
'x,-y+1/2,z'
loop_
_atom_site_label
_atom_site_type_symbol
_atom_site_fract_x
_atom_site_fract_y
_atom_site_fract_z
Na1 Na 0.250 0.250 0.033
Na2 Na 0.250 0.750 0.355
Co1 Co 0.000 0.000 0.500
Co2 Co 0.250 0.503 0.998
O1 O 0.001 0.088 0.834
O2 O 0.250 0.084 0.329
O3 O 0.250 0.587 0.664
```

Summary:
* density: 4.6 Mg/m³
* final energy: -10.65 eV/atom
* formation energy from raw total energies: -10.80 eV per formula unit



# 3
The following is a DFT calculation (meta-GGA SCAN) of a PBEsol-optimized structure of Be2InBr.

CIF file:
```
data_Be2InBr
_space_group_name_H-M_alt 'F -4 3 m'
_space_group_IT_number 216
_space_group_name_Hall 'F -4 2 3'
_cell_length_a 6.818
_cell_length_b 6.818
_cell_length_c 6.818
_cell_angle_alpha 90.00
_cell_angle_beta 90.00
_cell_angle_gamma 90.00
loop_
_atom_site_label
_atom_site_type_symbol
_atom_site_fract_x
_atom_site_fract_y
_atom_site_fract_z
Be1 Be 0.000 0.000 0.000
Be2 Be 0.250 0.250 0.250
In1 In 0.250 0.250 0.750
Br1 Br 0.000 0.000 0.500
```

Summary:
* density: 4.5 Mg/m³
* final energy: -14.29 eV/atom
* relative energy among the computed polymorphs: 2.69 eV/f.u.
* formation energy from raw total energies: 4.38 eV per formula unit



# 4
The following is a DFT calculation (meta-GGA SCAN) of a PBEsol-optimized structure of Zr2Ga2Ir.

CIF file:
```
data_Zr2Ga2Ir
_space_group_name_H-M_alt 'P 4/m b m'
_space_group_IT_number 127
_space_group_name_Hall '-P 4 2ab'
_cell_length_a 6.551
_cell_length_b 6.551
_cell_length_c 3.985
_cell_angle_alpha 90.00
_cell_angle_beta 90.00
_cell_angle_gamma 90.00
loop_
_atom_site_label
_atom_site_type_symbol
_atom_site_fract_x
_atom_site_fract_y
_atom_site_fract_z
Zr1 Zr 0.173 0.327 0.000
Ga1 Ga 0.133 0.633 0.500
Ir1 Ir 0.000 0.000 0.500
```

Summary:
* energy of formation: -0.899 eV/atom
* density: 10.0 Mg/m³
* final energy: -33.94 eV/atom



# 5
The following is a DFT calculation (meta-GGA SCAN) of a PBEsol-optimized structure of BeCdRh3.

CIF file:
```
data_BeCdRh3
_space_group_name_H-M_alt 'P m -3 m'
_space_group_IT_number 221
_space_group_name_Hall '-P 4 2 3'
_cell_length_a 4.750
_cell_length_b 4.750
_cell_length_c 4.750
_cell_angle_alpha 90.00
_cell_angle_beta 90.00
_cell_angle_gamma 90.00
loop_
_atom_site_label
_atom_site_type_symbol
_atom_site_fract_x
_atom_site_fract_y
_atom_site_fract_z
Be1 Be 0.000 0.000 0.000
Cd1 Cd 0.500 0.500 0.500
Rh1 Rh 0.000 0.500 0.500
```

Summary:
* energy of formation: 2.006 eV/atom
* density: 6.7 Mg/m³
* final energy: -25.21 eV/atom



# 6
The following is a DFT calculation (meta-GGA SCAN) of a PBEsol-optimized structure of LaMnRh3.

CIF file:
```
data_LaMnRh3
_space_group_name_H-M_alt 'P m -3 m'
_space_group_IT_number 221
_space_group_name_Hall '-P 4 2 3'
_cell_length_a 4.775
_cell_length_b 4.775
_cell_length_c 4.775
_cell_angle_alpha 90.00
_cell_angle_beta 90.00
_cell_angle_gamma 90.00
loop_
_atom_site_label
_atom_site_type_symbol
_atom_site_fract_x
_atom_site_fract_y
_atom_site_fract_z
La1 La 0.000 0.000 0.000
Mn1 Mn 0.500 0.500 0.500
Rh1 Rh 0.000 0.000 0.500
```

Summary:
* energy of formation: 1.013 eV/atom
* density: 7.7 Mg/m³
* final energy: -31.52 eV/atom



It is found that the DOS(E_F) values, taken in the order of the records, are 2.90, 13.90, 5.37, 4.71, 4.15, 2.41 states/eV/cell.